Here is an optimized crystal structure of Pr4AlCd2Hg from Alexandria. Energies are from PBE.

Computed properties:
The raw total energy comes out at -0.2556 Ry per atom. The size of the total moment comes out at 0.0 Bohr magnetons per cell. The density of states at the Fermi level is 10.5 states/eV/f.u.

a b c (Å): 5.4311 5.4311 9.4602
angles (deg): 73.32 73.32 60.00
Closest atoms and distances in Å follow each position.
Atoms (fractional coordinates):
Hg: 0.0000 0.0000 0.0000  8 Pr 3.35-3.40
Pr: 0.8732 0.8732 0.3804  4 Cd 3.28-3.34, 3 Al 3.31, 1 Hg 3.40
Pr: 0.3769 0.3769 0.8693  1 Al 3.30, 4 Cd 3.32-3.41, 3 Hg 3.35
Pr: 0.1268 0.1268 0.6196  4 Cd 3.28-3.34, 3 Al 3.31, 1 Hg 3.40
Pr: 0.6231 0.6231 0.1307  1 Al 3.30, 4 Cd 3.32-3.41, 3 Hg 3.35
Al: 0.5000 0.5000 0.5000  8 Pr 3.30-3.31
Cd: 0.2494 0.2494 0.2517  8 Pr 3.28-3.41
Cd: 0.7506 0.7506 0.7483  8 Pr 3.28-3.41

=====

Here is an optimized crystal structure of PuAlCdHg from Alexandria. Energies are from PBE.

Computed properties:
The raw total energy comes out at -0.3597 Ry per atom. The size of the total moment comes out at 5.5 Bohr magnetons per cell. The density of states at the Fermi level is 10.6 states/eV/f.u.

a b c (Å): 5.0511 5.0511 5.0511
angles (deg): 60.00 60.00 60.00
Closest atoms and distances in Å follow each position.
Atoms (fractional coordinates):
Pu: 0.5000 0.5000 0.5000  4 Hg 3.09, 4 Al 3.09
Cd: 0.0000 0.0000 0.0000  4 Al 3.09, 4 Hg 3.09
Hg: 0.7500 0.7500 0.7500  4 Cd 3.09, 4 Pu 3.09
Al: 0.2500 0.2500 0.2500  4 Cd 3.09, 4 Pu 3.09

=====

Here is an optimized crystal structure of ScAlCdHg from Alexandria. Energies are from PBE.

Computed properties:
The raw total energy comes out at -0.2183 Ry per atom. The size of the total moment comes out at 0.0 Bohr magnetons per cell. The density of states at the Fermi level is 1.1 states/eV/f.u.

a b c (Å): 4.8985 4.8985 4.8985
angles (deg): 60.00 60.00 60.00
Closest atoms and distances in Å follow each position.
Atoms (fractional coordinates):
Al: 0.0000 0.0000 0.0000  4 Sc 3.00, 4 Cd 3.00
Hg: 0.5000 0.5000 0.5000  4 Cd 3.00, 4 Sc 3.00
Sc: 0.2500 0.2500 0.2500  4 Hg 3.00, 4 Al 3.00
Cd: 0.7500 0.7500 0.7500  4 Hg 3.00, 4 Al 3.00

=====

Here is an optimized crystal structure of AlCdHg2Se4 from Alexandria. Energies are from PBE.

Computed properties:
The raw total energy comes out at -0.2072 Ry per atom. The size of the total moment comes out at 0.0 Bohr magnetons per cell. The density of states at the Fermi level is 2.7 states/eV/f.u.

a b c (Å): 6.1195 6.1195 7.6640
angles (deg): 113.52 113.52 90.02
Closest atoms and distances in Å follow each position.
Atoms (fractional coordinates):
Se: 0.8424 0.3827 0.2251  1 Al 2.45, 1 Cd 2.74
Se: 0.3827 0.8424 0.2251  1 Al 2.45, 1 Cd 2.74
Se: 0.6175 0.6175 0.7750  1 Al 2.45, 1 Cd 2.74
Se: 0.1575 0.1575 0.7750  1 Al 2.45, 1 Cd 2.74
Hg: 0.7500 0.2500 0.5001  4 Se 2.78
Hg: 0.2500 0.7500 0.5001  4 Se 2.78
Al: 0.4999 0.4999 0.9998  4 Se 2.45
Cd: 0.0003 0.0003 0.0005  4 Se 2.74